Compound: BaCrI2O
Source: Alexandria via LeMat-Bulk
Functional: PBE with a Hubbard U
Structure: relaxed

abc: 6.794 6.794 4.530
angles: 90.00 90.00 90.00
Each line ends with the local moment (μB).
Element x y z (fractional)
I  0.000  0.500  0.000  -0.08
I  0.500  0.000  0.000  -0.08
Cr  0.500  0.500  0.500  4.60
Ba  0.000  0.000  0.000  0.00
O  0.000  0.000  0.500  -0.08

Properties
E above lowest polymorph, kJ/mol of atoms: 64.5